Compound: Ag3PtW
Source: Alexandria via LeMat-Bulk
Functional: GGA-PBEsol
Structure: optimized geometry

Summary:
symmetry	Pm-3m (221)
ΔH_f (0 K)	2.247	eV/atom
uncorrected energy	-19.47	eV/cell
spin magnetization	0.0	μB per formula unit

Geometry as extended XYZ:
```
5
Lattice="4.8677 0.0000 0.0000 0.0000 4.8677 0.0000 0.0000 0.0000 4.8677" Properties=species:S:1:pos:R:3 pbc="T T T"
Ag 0.0000 0.0000 2.4339
Ag 0.0000 2.4339 0.0000
Ag 2.4339 0.0000 0.0000
Pt 2.4339 2.4339 2.4339
W 0.0000 0.0000 0.0000
```

---

Compound: AgPtW
Source: Alexandria via LeMat-Bulk
Functional: GGA-PBEsol
Structure: optimized geometry

Summary:
symmetry	P3m1 (156)
ΔH_f (0 K)	0.149	eV/atom
uncorrected energy	-23.64	eV/cell
spin magnetization	0.0	μB per formula unit

Geometry as extended XYZ:
```
3
Lattice="2.7879 0.0000 0.0000 -1.3939 2.4144 0.0000 0.0000 0.0000 6.9873" Properties=species:S:1:pos:R:3 pbc="T T T"
Ag 0.0000 0.0000 0.0000
Pt 0.0000 1.6096 4.5732
W 1.3940 0.8048 2.4226
```

---

Compound: Y2AgPt
Source: Alexandria via LeMat-Bulk
Functional: GGA-PBEsol
Structure: optimized geometry

Summary:
symmetry	P4/mmm (123)
ΔH_f (0 K)	-0.767	eV/atom
uncorrected energy	-26.99	eV/cell
spin magnetization	0.0	μB per formula unit

Geometry as extended XYZ:
```
4
Lattice="3.4957 0.0000 0.0000 0.0000 3.4957 0.0000 0.0000 0.0000 7.0978" Properties=species:S:1:pos:R:3 pbc="T T T"
Y 0.0000 0.0000 1.6678
Y 0.0000 0.0000 5.4300
Ag 1.7479 1.7479 3.5489
Pt 1.7479 1.7479 0.0000
```

---

Compound: YAg2Pt
Source: Alexandria via LeMat-Bulk
Functional: GGA-PBEsol
Structure: optimized geometry

Summary:
symmetry	I4/mmm (139)
ΔH_f (0 K)	-0.574	eV/atom
uncorrected energy	-45.41	eV/cell
spin magnetization	0.0	μB per formula unit
energy above the lowest structure with this stoichiometry	0	meV/atom

Geometry as extended XYZ:
```
8
Lattice="4.0144 0.0000 0.0000 0.0000 4.0144 0.0000 0.0000 0.0000 8.9983" Properties=species:S:1:pos:R:3 pbc="T T T"
Y 0.0000 0.0000 0.0000
Y 2.0072 2.0072 4.4992
Ag 0.0000 2.0072 2.2496
Ag 0.0000 2.0072 6.7488
Ag 2.0072 0.0000 2.2496
Ag 2.0072 0.0000 6.7488
Pt 0.0000 0.0000 4.4992
Pt 2.0072 2.0072 0.0000
```